Material: Ta2BeIr2
Method: DFT, PBE
State: optimized geometry

The excess energy over the best structure of this formula in the dataset comes out at 0.3092 eV/atom.

Lattice parameters (Å, degrees): 5.9677 5.9677 5.9677 137.20 137.20 62.14
With the nearest neighbours (Å) after each atom.
Fractional positions:
Ta 0.2500 0.7500 0.5000  4 Ir 2.55
Ta 0.7500 0.2500 0.5000  4 Ir 2.55
Be 0.0000 0.0000 0.0000  8 Ir 3.32, 8 Ta 3.36
Ir 0.3789 0.3789 0.0000  1 Ir 2.48, 4 Ta 2.55
Ir 0.6211 0.6211 0.0000  1 Ir 2.48, 4 Ta 2.55

Material: NbAl
Method: DFT, PBE
State: optimized geometry

Lattice parameters (Å, degrees): 7.4370 7.4370 4.6871 90.00 90.00 120.00
With the nearest neighbours (Å) after each atom.
Fractional positions:
Nb 0.0815 0.4609 0.2500  5 Al 2.72-2.83, 4 Nb 2.83-2.99
Nb 0.3794 0.9185 0.2500  5 Al 2.72-2.83, 4 Nb 2.83-2.99
Nb 0.4609 0.3794 0.7500  5 Al 2.72-2.83, 4 Nb 2.83-2.99
Nb 0.5391 0.6206 0.2500  5 Al 2.72-2.83, 4 Nb 2.83-2.99
Nb 0.6206 0.0815 0.7500  5 Al 2.72-2.83, 4 Nb 2.83-2.99
Nb 0.9185 0.5391 0.7500  5 Al 2.72-2.83, 4 Nb 2.83-2.99
Al 0.0458 0.2391 0.7500  5 Nb 2.72-2.83, 6 Al 2.83-2.86
Al 0.1933 0.9542 0.7500  5 Nb 2.72-2.83, 6 Al 2.83-2.86
Al 0.2391 0.1933 0.2500  5 Nb 2.72-2.83, 6 Al 2.83-2.86
Al 0.7609 0.8067 0.7500  5 Nb 2.72-2.83, 6 Al 2.83-2.86
Al 0.8067 0.0458 0.2500  5 Nb 2.72-2.83, 6 Al 2.83-2.86
Al 0.9542 0.7609 0.2500  5 Nb 2.72-2.83, 6 Al 2.83-2.86

| no. | M_tot (μB per formula unit) | Fermi-level density of states (states/eV/cell) | formation enthalpy at 0 K (eV/atom) |
| --- | --- | --- | --- |
| 1 | 0.0 | 1.3 | 0.131 |
| 2 | 0.0 | 9.9 | 0.177 |